(1)
A plane-wave DFT calculation with GGA-PBE was carried out for Hf4TcOs3 after structural relaxation.

Geometry as POSCAR:
```
Hf4TcOs3
1.0
3.2496 0.0000 0.0000
0.0000 4.6069 0.0000
0.0000 0.0000 9.2038
Hf Tc Os
4 1 3
Cartesian
0.0000 0.0000 0.0000 Hf
0.0000 0.0000 4.6019 Hf
0.0000 2.3034 2.2849 Hf
0.0000 2.3034 6.9189 Hf
1.6248 2.3034 0.0000 Tc
1.6248 0.0000 2.3137 Os
1.6248 0.0000 6.8901 Os
1.6248 2.3034 4.6019 Os
```

Values from the calculation:
The density of states at the Fermi level is 3.56 states/eV/cell. The space group is No. 47. For the total energy, the calculation gives -11.1585 eV per atom.


(2)
A plane-wave DFT calculation with GGA-PBE was carried out for SrTaCr2N after structural relaxation.

Geometry as POSCAR:
```
SrTaCr2N
1.0
3.9479 0.0000 0.0000
0.0000 3.9479 0.0000
0.0000 0.0000 4.8718
Sr Ta Cr N
1 1 2 1
Cartesian
0.0000 0.0000 0.0000 Sr
1.9739 1.9739 0.0000 Ta
0.0000 1.9739 2.4359 Cr
1.9739 0.0000 2.4359 Cr
0.0000 0.0000 2.4359 N
```

Values from the calculation:
The density of states at the Fermi level is 6.11 states/eV/cell. The space group is No. 123. As for the uncorrected formation energy: 3.595 eV/f.u.


(3)
A plane-wave DFT calculation with GGA-PBE was carried out for Ta4FeOs3 after structural relaxation.

Geometry as POSCAR:
```
Ta4FeOs3
1.0
-2.2221 2.2221 6.4462
2.2221 -2.2221 6.4462
2.2221 2.2221 -6.4462
Ta Fe Os
4 1 3
Cartesian
2.2221 0.0000 1.5629 Ta
2.2221 0.0000 4.8833 Ta
0.0000 2.2221 1.5629 Ta
0.0000 2.2221 4.8833 Ta
0.0000 0.0000 0.0000 Fe
0.0000 0.0000 3.1973 Os
0.0000 0.0000 6.4462 Os
0.0000 0.0000 9.6951 Os
```

Values from the calculation:
The density of states at the Fermi level is 5.06 states/eV/cell. The space group is No. 139. For the total energy, the calculation gives -11.4562 eV per atom.


(4)
A plane-wave DFT calculation with GGA-PBE was carried out for GdHo2Hf after structural relaxation.

Geometry as POSCAR:
```
GdHo2Hf
1.0
3.9441 0.0000 0.0000
0.0000 3.9441 0.0000
0.0000 0.0000 7.4578
Gd Ho Hf
1 2 1
Cartesian
0.0000 0.0000 0.0000 Gd
1.9720 1.9720 2.0967 Ho
1.9720 1.9720 5.3610 Ho
0.0000 0.0000 3.7289 Hf
```

Values from the calculation:
The density of states at the Fermi level is 8.60 states/eV/cell. The space group is No. 123. For the total energy, the calculation gives -8.0855 eV per atom.


(5)
A plane-wave DFT calculation with GGA-PBE was carried out for Ca2ZrRu after structural relaxation.

Geometry as POSCAR:
```
Ca2ZrRu
1.0
2.8644 -5.1901 0.0000
2.8644 5.1901 0.0000
-0.8105 0.0000 3.0969
Ca Zr Ru
2 1 1
Cartesian
1.4322 2.5950 0.0000 Ca
1.4322 -2.5950 0.0000 Ca
-0.4053 0.0000 1.5485 Zr
2.4591 0.0000 1.5485 Ru
```

Values from the calculation:
The density of states at the Fermi level is 4.28 states/eV/cell. The space group is No. 12. For the total energy, the calculation gives -4.9842 eV per atom.


(6)
A plane-wave DFT calculation with GGA-PBE was carried out for ScAlTeN2 after structural relaxation.

Geometry as POSCAR:
```
ScAlTeN2
1.0
3.8760 0.0000 0.0000
0.0000 3.8760 0.0000
0.0000 0.0000 5.6167
Sc Al Te N
1 1 1 2
Cartesian
0.0000 0.0000 0.0000 Sc
1.9380 1.9380 2.8083 Al
1.9380 1.9380 0.0000 Te
0.0000 1.9380 2.8083 N
1.9380 0.0000 2.8083 N
```

Values from the calculation:
The density of states at the Fermi level is 2.59 states/eV/cell. The space group is No. 123. As for the uncorrected formation energy: 1.273 eV/f.u.